First-principles (GGA+U) data for crystalline CoSbI2F at its relaxed geometry, as listed in Alexandria.

Cell: 5.2577 5.2577 4.9655 Å, 90.00 90.00 90.00°
Space group P4/mmm (No. 123)
Inequivalent atoms, fractional coordinates:
Co1 0.0000 0.0000 0.0000 [1 per cell]
Sb1 0.0000 0.0000 0.5000 [1 per cell]
I1 0.0000 0.5000 0.0000 [2 per cell]
F1 0.5000 0.5000 0.5000 [1 per cell]

Calculated values
N(E_F) (states/eV per cell): 3.55
Theoretical density (g/cm3): 5.5
Spin magnetization (μB per cell): 1.53
Relative energy among the computed polymorphs (eV/atom): 0.0000
Calculated volume (A^3/atom): 27.45
Energy (Ry/atom): -0.1967